Mo2RhBr | PBE | optimized geometry

Electronic total energy in eV/cell: -87.9
V in Å³ per atom: 17.0
Uncorrected formation energy in meV per atom: 349
Excess energy over the best structure of this formula in the dataset in eV/f.u.: 0.305

Lattice parameters (Å, degrees): 2.9411 2.9411 27.1664 90.00 90.00 120.00
Space group R3m (No. 160, hexagonal axes)
One atom of each set of equivalent atoms:
Mo 0.0000 0.0000 0.0000 (multiplicity 3)
Mo 0.0000 0.0000 0.2468 (multiplicity 3)
Rh 0.0000 0.0000 0.5056 (multiplicity 3)
Br 0.0000 0.0000 0.7397 (multiplicity 3)

=====

Mo2RhBr | PBE | optimized geometry

Electronic total energy in eV/cell: -55.6
V in Å³ per atom: 16.8
Uncorrected formation energy in meV per atom: 717
Excess energy over the best structure of this formula in the dataset in eV/f.u.: 1.777

Lattice parameters (Å, degrees): 3.0955 4.7598 9.1143 90.00 90.00 90.00
Space group Cmmm (No. 65)
One atom of each set of equivalent atoms:
Mo 0.0000 0.0000 0.2368 (multiplicity 4)
Rh 0.0000 0.5000 0.0000 (multiplicity 2)
Br 0.0000 0.5000 0.5000 (multiplicity 2)

=====

MoRhBr4 | PBE | optimized geometry

Electronic total energy in eV/cell: -62.8
V in Å³ per atom: 27.4
Uncorrected formation energy in meV per atom: 1528

Lattice parameters (Å, degrees): 8.7011 8.7011 8.7011 90.00 90.00 90.00
Space group F-43m (No. 216)
One atom of each set of equivalent atoms:
Mo 0.0000 0.0000 0.0000 (multiplicity 4)
Rh 0.2500 0.2500 0.7500 (multiplicity 4)
Br 0.1247 0.1247 0.3753 (multiplicity 16)

=====

MoRhBr | PBE | optimized geometry

Electronic total energy in eV/cell: -18.9
V in Å³ per atom: 17.1
Uncorrected formation energy in meV per atom: 304
Excess energy over the best structure of this formula in the dataset in eV/f.u.: 0.024

Lattice parameters (Å, degrees): 3.0116 3.0116 6.5413 90.00 90.00 120.00
Space group P3m1 (No. 156)
One atom of each set of equivalent atoms:
Mo 0.0000 0.0000 0.0000 (multiplicity 1)
Rh 0.6667 0.3333 0.3051 (multiplicity 1)
Br 0.3333 0.6667 0.6896 (multiplicity 1)

=====

Number 1: mass density 9.172 g/cm³. Number 2: mass density 9.266 g/cm³. Number 3: mass density 5.228 g/cm³. Number 4: mass density 9.009 g/cm³.